1.
First-principles (PBE-GGA) data for an optimized crystal structure of Ac2Tb15Y2, as listed in the Alexandria database.

The volume comes out at 656.3 Å³/f.u. Its uncorrected energy is -4.4853 eV/atom. The calculation puts the mass density at 7.63 g/cm³. The density of states at the Fermi level comes out at 97.77 states/eV/cell.

The space group is R-3m (No. 166, hexagonal axes) and the conventional cell measures 11.3223, 11.3223 and 17.7346 Å, with angles of 90.00, 90.00 and 120.00 degrees. Symmetry generates all atoms from Ac at (0.0000, 0.0000, 0.1117), Tb at (0.0000, 0.3071, 0.0000), Tb at (0.0000, 0.5000, 0.5000), Tb at (0.0192, 0.5096, 0.1372) and Y at (0.0000, 0.0000, 0.3298).

---

2.
First-principles (PBE-GGA) data for an optimized crystal structure of HoEr2Tl4, as listed in the Alexandria database.

The volume comes out at 205.9 Å³/f.u. The calculation puts the mass density at 10.62 g/cm³. As for the energy relative to the lowest polymorph listed for this composition: 0 meV/atom. The density of states at the Fermi level comes out at 11.19 states/eV/cell.

The space group is I4/mmm (No. 139) and the conventional cell measures 7.458, 7.458 and 7.404 Å, with angles of 90.00, 90.00 and 90.00 degrees. Symmetry generates all atoms from Ho at (0.000, 0.000, 0.000), Er at (0.000, 0.500, 0.000) and Tl at (0.250, 0.250, 0.250).

---

3.
First-principles (PBE-GGA) data for an optimized crystal structure of Nb2CuGe, as listed in the Alexandria database.

The volume comes out at 69.8 Å³/f.u. Its uncorrected energy is -7.0441 eV/atom. The calculation puts the mass density at 7.66 g/cm³. The density of states at the Fermi level comes out at 7.87 states/eV/cell.

The space group is R-3m (No. 166, hexagonal axes) and the conventional cell measures 3.7610, 3.7610 and 17.1054 Å, with angles of 90.00, 90.00 and 120.00 degrees. Symmetry generates all atoms from Nb at (0.0000, 0.0000, 0.2482), Cu at (0.0000, 0.0000, 0.5000) and Ge at (0.0000, 0.0000, 0.0000).

---

4.
First-principles (PBE-GGA) data for an optimized crystal structure of PmPa2MnN5, as listed in the Alexandria database.

The volume comes out at 121.1 Å³/f.u. Its uncorrected formation energy is -1.297 eV per atom. The calculation puts the mass density at 10.04 g/cm³. The density of states at the Fermi level comes out at 1.08 states/eV/cell.

The space group is P4/mbm (No. 127) and the conventional cell measures 6.563, 6.563 and 5.622 Å, with angles of 90.00, 90.00 and 90.00 degrees. Symmetry generates all atoms from Pm at (0.000, 0.000, 0.000), Pa at (0.172, 0.328, 0.500), Mn at (0.000, 0.500, 0.000), N at (0.000, 0.000, 0.500) and N at (0.148, 0.648, 0.240).

---

Q: Among the records above, which one has the lowest mass density?
A: Ac2Tb15Y2